1.
## Sm2SnSe (PBE)

Data for a geometry-optimized Sm2SnSe structure.

Symmetry   R-3m, No. 166
Formation energy without anion corrections   -1.27 eV/atom
Energy relative to the lowest polymorph listed for this composition   0.0287 eV/atom
Crystal system   trigonal

Structure (POSCAR):
```
Sm2SnSe
1.0
4.305 0.000 0.000
2.152 3.728 0.000
2.152 1.243 7.191
Sn Sm Se
1 2 1
direct
0.000 0.000 0.000 Sn
0.753 0.753 0.741 Sm
0.247 0.247 0.259 Sm
0.500 0.500 0.500 Se
```

---

2.
## Sm2SnSe4 (PBE)

Data for a geometry-optimized Sm2SnSe4 structure.

Symmetry   Cmcm, No. 63
Formation energy without anion corrections   -1.42 eV/atom
Crystal system   orthorhombic

Structure (POSCAR):
```
Sm2SnSe4
1.0
-0.396 3.838 -1.574
-4.444 -4.256 -3.744
-10.504 2.750 9.343
Se Sm Sn
8 4 2
direct
0.772 0.543 0.117 Se
0.500 0.000 0.000 Se
0.228 0.457 0.883 Se
0.772 0.543 0.383 Se
0.961 0.922 0.750 Se
0.228 0.457 0.617 Se
0.500 0.000 0.500 Se
0.039 0.078 0.250 Se
0.136 0.273 0.433 Sm
0.864 0.727 0.567 Sm
0.136 0.273 0.067 Sm
0.864 0.727 0.933 Sm
0.604 0.208 0.750 Sn
0.396 0.792 0.250 Sn
```

---

3.
## Sm6Sn2Te3Se (PBE)

Data for a geometry-optimized Sm6Sn2Te3Se structure.

Symmetry   C2/m, No. 12
Formation energy without anion corrections   -1.28 eV/atom
Crystal system   monoclinic

Structure (POSCAR):
```
Sm6Sn2Te3Se
1.0
-3.208 -1.271 -2.758
5.623 -5.626 -3.948
-2.377 -4.631 8.436
Sm Te Se Sn
6 3 1 2
direct
0.332 0.424 0.663 Sm
0.339 0.912 0.678 Sm
0.668 0.576 0.337 Sm
0.661 0.088 0.322 Sm
0.997 0.764 0.994 Sm
0.003 0.236 0.006 Sm
0.500 0.500 0.000 Te
0.167 0.834 0.334 Te
0.833 0.166 0.666 Te
0.500 0.000 0.000 Se
0.166 0.331 0.332 Sn
0.834 0.669 0.668 Sn
```

---

Q: What is the formation energy without anion corrections in the first record?
A: -1.27 eV/atom